Entry from the Alexandria database: Se3Br4 after structural relaxation (PBE).

```
data_Se3Br4
_space_group_name_H-M_alt 'P 1'
_space_group_IT_number 1
_space_group_name_Hall 'P 1'
_cell_length_a 6.1418
_cell_length_b 6.1418
_cell_length_c 5.2110
_cell_angle_alpha 90.00
_cell_angle_beta 90.00
_cell_angle_gamma 120.00
loop_
_atom_site_label
_atom_site_type_symbol
_atom_site_fract_x
_atom_site_fract_y
_atom_site_fract_z
_atom_site_occupancy
Br1 Br 0.6667 0.3333 0.5000 1
Br2 Br 0.0000 0.0000 0.2567 1
Br3 Br 0.3333 0.6667 0.5000 1
Br4 Br 0.0000 0.0000 0.7433 1
Se1 Se 0.0000 0.5000 0.0000 1
Se2 Se 0.5000 0.0000 0.0000 1
Se3 Se 0.5000 0.5000 0.0000 1
```

Values from the calculation:
size of the total moment: 0.0 μB/f.u.
SG: P6/mmm (191)
calculated volume: 24.32 Å³/atom
ΔE_f (raw): 0.567 eV/atom